! Th8AuSe4S3 PBE-GGA relaxed; values from VASP
&SYSTEM
  ibrav = 0, nat = 16, ntyp = 4
/
ATOMIC_SPECIES
Th 232.04 Th.upf
Au 196.97 Au.upf
Se 78.96 Se.upf
S 32.06 S.upf
CELL_PARAMETERS angstrom
4.1301 2.3845 6.9548
-4.1301 2.3845 6.9548
0.0000 -4.7690 6.9548
ATOMIC_POSITIONS angstrom
Th -2.1233 -1.2259 12.0855
Th 0.0000 0.0000 5.0904
Th 0.0000 -2.4518 8.7789
Th -2.1233 1.2259 8.7789
Th 2.1233 -1.2259 12.0855
Th 0.0000 2.4518 12.0855
Th 0.0000 0.0000 15.7740
Th 2.1233 1.2259 8.7789
Au 0.0000 0.0000 10.4322
Se 0.0000 0.0000 0.0000
Se -2.0650 -1.1923 6.9548
Se -2.0650 1.1923 13.9096
Se 0.0000 2.3845 6.9548
S -4.1301 0.0000 10.4322
S -2.0650 1.1923 3.4774
S 2.0650 1.1923 3.4774
! Space group: R-3m
! Mass density in Mg/m³: 9.96
! Crystal system: trigonal
! Formation energy (no corrections) in eV per atom: -1.521
! Total moment in μB per formula unit: 0.0